FeP2O | GGA+U | optimized geometry

Results
The total magnetic moment is 3.82 μB/f.u. Its space group is Cm, No. 8. The final energy is -45.9 eV for the cell shown.

Structure (CIF):
```
data_FeP2O
_symmetry_space_group_name_H-M 'P 1'
_symmetry_Int_Tables_number 1
_cell_length_a 4.012
_cell_length_b 2.829
_cell_length_c 12.688
_cell_angle_alpha 90.00
_cell_angle_beta 110.00
_cell_angle_gamma 90.00
loop_
_symmetry_equiv_pos_as_xyz
'x,y,z'
loop_
_atom_site_label
_atom_site_fract_x
_atom_site_fract_y
_atom_site_fract_z
Fe1 0.976 0.000 0.323
Fe2 0.976 0.500 0.823
P1 0.394 0.000 0.750
P2 0.394 0.500 0.250
P3 0.959 0.000 0.581
P4 0.959 0.500 0.081
O1 0.114 0.000 0.484
O2 0.114 0.500 0.984
```